Crystalline Te2Pb2I at its relaxed geometry, computed with PBE.

Values from the calculation:
Raw formation energy in eV per atom: -0.2446
Symmetry: P4/mbm, No. 127
Calculated total energy in eV per formula unit: -16.47
Distance to the lowest polymorph of the same formula in eV per formula unit: 0.07

Cell: 9.097 9.097 4.061 Å, 90.00 90.00 90.00°
Fractional positions:
Te1 0.367 0.133 0.500
Te2 0.133 0.633 0.500
Te3 0.867 0.367 0.500
Te4 0.633 0.867 0.500
Pb1 0.166 0.334 0.000
Pb2 0.666 0.166 0.000
Pb3 0.334 0.834 0.000
Pb4 0.834 0.666 0.000
I1 0.000 0.000 0.000
I2 0.500 0.500 0.000